[1]
This record from Alexandria via LeMat-Bulk describes a relaxed AcAlAgAu6 crystal. The functional is GGA-PBE.

```
AcAlAgAu6
1.0
-3.7049 4.8193 5.5142
3.7049 -4.8193 5.5142
3.7049 4.8193 -5.5142
Ac Al Ag Au
2 2 2 12
Cartesian
0.0000 2.4096 2.4656
3.7049 2.4096 3.0486
0.0000 0.0000 0.0000
0.0000 4.8193 0.0000
1.8525 2.4096 -2.7571
1.8525 -2.4096 2.7571
2.2156 0.0712 1.3902
5.1942 0.0712 1.3902
3.7049 -2.4096 4.8006
3.7049 2.4096 -0.3384
2.2156 4.8904 -1.3902
1.4893 0.0712 4.1240
2.2156 4.7481 1.3902
1.4893 -0.0712 6.9044
0.0000 2.4096 5.8526
0.0000 7.2289 0.7136
-1.4893 4.7481 4.1240
1.4893 4.7481 4.1240
```

Summary:
- space-group type = Imma (74)
- DFT total energy (hartree per atom) = -0.133
- total moment (μB/f.u.) = 0.0

[2]
This record from Alexandria via LeMat-Bulk describes a relaxed AcAl2AgAu crystal. The functional is GGA-PBE.

```
AcAl2AgAu
1.0
-2.3217 2.3217 5.2424
2.3217 -2.3217 5.2424
2.3217 2.3217 -5.2424
Ac Al Ag Au
1 2 1 1
Cartesian
0.0000 0.0000 0.0000
0.0000 0.0000 3.9237
0.0000 0.0000 6.5611
0.0000 2.3217 2.6212
2.3217 0.0000 2.6212
```

Summary:
- space-group type = I-4m2 (119)
- DFT total energy (hartree per atom) = -0.149
- total moment (μB/f.u.) = 0.0

Calculated values (eV/atom) of energy relative to the elements for the records, taken in order: -0.24; -0.51.